Entry 1:
First-principles (GGA-PBE) data for a relaxed ZrTlPd6 crystal, as listed in Alexandria.

Summary:
Relative energy among the computed polymorphs   12.20 kcal/mol of atoms
Energy relative to the elements   -0.02 eV/atom
V   476.6 Å³ per cell
Crystal system   trigonal
Uncorrected energy   -5.278 eV per atom

The structure in CIF format:
```
data_ZrTlPd6
_cell_length_a 7.2475
_cell_length_b 7.2475
_cell_length_c 10.4767
_cell_angle_alpha 90.00
_cell_angle_beta 90.00
_cell_angle_gamma 120.00
_space_group_name_H-M_alt 'R -3 m'
_space_group_IT_number 166
_space_group_name_Hall '-R 3 2"'
loop_
_atom_site_label
_atom_site_fract_x
_atom_site_fract_y
_atom_site_fract_z
Zr1 0.0000 0.0000 0.0000
Tl1 0.0000 0.0000 0.5000
Pd1 0.0804 0.5402 0.3833
```


Entry 2:
First-principles (GGA-PBE) data for a relaxed ZrTl2Pd9 crystal, as listed in Alexandria.

Summary:
Energy relative to the elements   -0.42 eV/atom
V   202.4 Å³ per cell
Crystal system   tetragonal
Uncorrected energy   -5.426 eV per atom

The structure in CIF format:
```
data_ZrTl2Pd9
_cell_length_a 4.064
_cell_length_b 4.064
_cell_length_c 12.254
_cell_angle_alpha 90.00
_cell_angle_beta 90.00
_cell_angle_gamma 90.00
_space_group_name_H-M_alt 'P 4/m m m'
_space_group_IT_number 123
_space_group_name_Hall '-P 4 2'
loop_
_atom_site_label
_atom_site_fract_x
_atom_site_fract_y
_atom_site_fract_z
Zr1 0.000 0.000 0.000
Tl1 0.000 0.000 0.335
Pd1 0.000 0.500 0.161
Pd2 0.000 0.500 0.500
Pd3 0.500 0.500 0.000
Pd4 0.500 0.500 0.329
```


Entry 3:
First-principles (GGA-PBE) data for a relaxed ZrTlPd crystal, as listed in Alexandria.

Summary:
Energy relative to the elements   -0.08 eV/atom
V   325.6 Å³ per cell
Crystal system   tetragonal
Uncorrected energy   -5.449 eV per atom

The structure in CIF format:
```
data_ZrTlPd
_cell_length_a 8.577
_cell_length_b 8.577
_cell_length_c 4.425
_cell_angle_alpha 90.00
_cell_angle_beta 90.00
_cell_angle_gamma 90.00
_space_group_name_H-M_alt 'P 42/m'
_space_group_IT_number 84
loop_
_space_group_symop_operation_xyz
'x,y,z'
'-x,-y,-z'
'-y,x,z+1/2'
'y,-x,-z+1/2'
'-x,-y,z'
'x,y,-z'
'y,-x,z+1/2'
'-y,x,-z+1/2'
loop_
_atom_site_label
_atom_site_fract_x
_atom_site_fract_y
_atom_site_fract_z
Zr1 0.043 0.816 0.000
Tl1 0.183 0.408 0.500
Pd1 0.198 0.726 0.500
```


Entry 4:
First-principles (GGA-PBE) data for a relaxed Zr2TlPd2 crystal, as listed in Alexandria.

Summary:
Energy relative to the elements   -0.22 eV/atom
V   226.9 Å³ per cell
Crystal system   tetragonal
Uncorrected energy   -6.193 eV per atom

The structure in CIF format:
```
data_Zr2TlPd2
_cell_length_a 4.618
_cell_length_b 4.618
_cell_length_c 10.640
_cell_angle_alpha 90.00
_cell_angle_beta 90.00
_cell_angle_gamma 90.00
_space_group_name_H-M_alt 'I 4/m m m'
_space_group_IT_number 139
_space_group_name_Hall '-I 4 2'
loop_
_atom_site_label
_atom_site_fract_x
_atom_site_fract_y
_atom_site_fract_z
Zr1 0.000 0.500 0.250
Tl1 0.000 0.000 0.000
Pd1 0.000 0.000 0.380
```


Entry 5:
First-principles (GGA-PBE) data for a relaxed ZrTlPd6 crystal, as listed in Alexandria.

Summary:
Relative energy among the computed polymorphs   0.00 kcal/mol of atoms
Energy relative to the elements   -0.55 eV/atom
V   134.1 Å³ per cell
Crystal system   tetragonal
Uncorrected energy   -5.807 eV per atom

The structure in CIF format:
```
data_ZrTlPd6
_cell_length_a 4.062
_cell_length_b 4.062
_cell_length_c 8.131
_cell_angle_alpha 90.00
_cell_angle_beta 90.00
_cell_angle_gamma 90.00
_space_group_name_H-M_alt 'P 4/m m m'
_space_group_IT_number 123
_space_group_name_Hall '-P 4 2'
loop_
_atom_site_label
_atom_site_fract_x
_atom_site_fract_y
_atom_site_fract_z
Zr1 0.000 0.000 0.000
Tl1 0.000 0.000 0.500
Pd1 0.000 0.500 0.242
Pd2 0.500 0.500 0.000
Pd3 0.500 0.500 0.500
```


Entry 6:
First-principles (GGA-PBE) data for a relaxed ZrTlPd crystal, as listed in Alexandria.

Summary:
Energy relative to the elements   -0.26 eV/atom
V   271.9 Å³ per cell
Crystal system   cubic
Uncorrected energy   -5.634 eV per atom

The structure in CIF format:
```
data_ZrTlPd
_cell_length_a 6.478
_cell_length_b 6.478
_cell_length_c 6.478
_cell_angle_alpha 90.00
_cell_angle_beta 90.00
_cell_angle_gamma 90.00
_space_group_name_H-M_alt 'F -4 3 m'
_space_group_IT_number 216
_space_group_name_Hall 'F -4 2 3'
loop_
_atom_site_label
_atom_site_fract_x
_atom_site_fract_y
_atom_site_fract_z
Zr1 0.000 0.000 0.000
Tl1 0.000 0.000 0.500
Pd1 0.250 0.250 0.250
```


Entry 7:
First-principles (GGA-PBE) data for a relaxed ZrTl2Pd2 crystal, as listed in Alexandria.

Summary:
Energy relative to the elements   -0.11 eV/atom
V   202.6 Å³ per cell
Crystal system   tetragonal
Uncorrected energy   -4.840 eV per atom

The structure in CIF format:
```
data_ZrTl2Pd2
_cell_length_a 7.727
_cell_length_b 7.727
_cell_length_c 3.394
_cell_angle_alpha 90.00
_cell_angle_beta 90.00
_cell_angle_gamma 90.00
_space_group_name_H-M_alt 'P 4/m b m'
_space_group_IT_number 127
_space_group_name_Hall '-P 4 2ab'
loop_
_atom_site_label
_atom_site_fract_x
_atom_site_fract_y
_atom_site_fract_z
Zr1 0.000 0.000 0.000
Tl1 0.168 0.332 0.500
Pd1 0.131 0.631 0.000
```


Entry 8:
First-principles (GGA-PBE) data for a relaxed Zr5TlPd crystal, as listed in Alexandria.

Summary:
Energy relative to the elements   0.11 eV/atom
V   651.3 Å³ per cell
Crystal system   monoclinic
Uncorrected energy   -7.080 eV per atom

The structure in CIF format:
```
data_Zr5TlPd
_cell_length_a 9.386
_cell_length_b 7.254
_cell_length_c 10.437
_cell_angle_alpha 90.00
_cell_angle_beta 113.59
_cell_angle_gamma 90.00
_space_group_name_H-M_alt 'C 1 2/c 1'
_space_group_IT_number 15
loop_
_space_group_symop_operation_xyz
'x,y,z'
'-x,-y,-z'
'-x,y,-z+1/2'
'x,-y,z+1/2'
'x+1/2,y+1/2,z'
'-x+1/2,-y+1/2,-z'
'-x+1/2,y+1/2,-z+1/2'
'x+1/2,-y+1/2,z+1/2'
loop_
_atom_site_label
_atom_site_fract_x
_atom_site_fract_y
_atom_site_fract_z
Zr1 0.000 0.025 0.250
Zr2 0.146 0.384 0.510
Zr3 0.196 0.303 0.200
Tl1 0.000 0.385 0.750
Pd1 0.000 0.000 0.000
```


Entry 9:
First-principles (GGA-PBE) data for a relaxed ZrTl2Pd crystal, as listed in Alexandria.

Summary:
Relative energy among the computed polymorphs   0.00 kcal/mol of atoms
Energy relative to the elements   -0.12 eV/atom
V   85.4 Å³ per cell
Crystal system   tetragonal
Uncorrected energy   -4.735 eV per atom

The structure in CIF format:
```
data_ZrTl2Pd
_cell_length_a 4.440
_cell_length_b 4.440
_cell_length_c 4.331
_cell_angle_alpha 90.00
_cell_angle_beta 90.00
_cell_angle_gamma 90.00
_space_group_name_H-M_alt 'P 4/m m m'
_space_group_IT_number 123
_space_group_name_Hall '-P 4 2'
loop_
_atom_site_label
_atom_site_fract_x
_atom_site_fract_y
_atom_site_fract_z
Zr1 0.000 0.000 0.000
Tl1 0.000 0.500 0.500
Pd1 0.500 0.500 0.000
```


Entry 10:
First-principles (GGA-PBE) data for a relaxed Tm3Pd crystal, as listed in Alexandria.

Summary:
Energy relative to the elements   -0.44 eV/atom
V   829.2 Å³ per cell
Crystal system   monoclinic
Uncorrected energy   -5.089 eV per atom

The structure in CIF format:
```
data_Tm3Pd
_cell_length_a 13.172
_cell_length_b 11.692
_cell_length_c 6.056
_cell_angle_alpha 90.00
_cell_angle_beta 117.25
_cell_angle_gamma 90.00
_space_group_name_H-M_alt 'C 1 2 1'
_space_group_IT_number 5
loop_
_space_group_symop_operation_xyz
'x,y,z'
'-x,y,-z'
'x+1/2,y+1/2,z'
'-x+1/2,y+1/2,-z'
loop_
_atom_site_label
_atom_site_fract_x
_atom_site_fract_y
_atom_site_fract_z
Tm1 0.000 0.000 0.000
Tm2 0.000 0.287 0.000
Tm3 0.096 0.547 0.337
Tm4 0.096 0.739 0.855
Tm5 0.144 0.143 0.644
Tm6 0.202 0.442 0.915
Tm7 0.202 0.846 0.489
Pd1 0.000 0.350 0.500
Pd2 0.000 0.937 0.500
Pd3 0.206 0.144 0.206
```


Entry 11:
First-principles (GGA-PBE) data for a relaxed Tm2Pd13 crystal, as listed in Alexandria.

Summary:
Energy relative to the elements   -0.03 eV/atom
V   934.4 Å³ per cell
Crystal system   trigonal
Uncorrected energy   -5.122 eV per atom

The structure in CIF format:
```
data_Tm2Pd13
_cell_length_a 7.3416
_cell_length_b 7.3416
_cell_length_c 20.0177
_cell_angle_alpha 90.00
_cell_angle_beta 90.00
_cell_angle_gamma 120.00
_space_group_name_H-M_alt 'R -3 m'
_space_group_IT_number 166
_space_group_name_Hall '-R 3 2"'
loop_
_atom_site_label
_atom_site_fract_x
_atom_site_fract_y
_atom_site_fract_z
Tm1 0.0000 0.0000 0.2410
Pd1 0.0000 0.0000 0.0000
Pd2 0.0835 0.5418 0.5599
Pd3 0.0865 0.5433 0.3043
```


Entry 12:
First-principles (GGA-PBE) data for a relaxed Tm3Pd4 crystal, as listed in Alexandria.

Summary:
Energy relative to the elements   -0.98 eV/atom
V   842.6 Å³ per cell
Crystal system   trigonal
Uncorrected energy   -5.862 eV per atom

The structure in CIF format:
```
data_Tm3Pd4
_cell_length_a 13.0483
_cell_length_b 13.0483
_cell_length_c 5.7143
_cell_angle_alpha 90.00
_cell_angle_beta 90.00
_cell_angle_gamma 120.00
_space_group_name_H-M_alt 'R -3'
_space_group_IT_number 148
_space_group_name_Hall '-R 3'
loop_
_atom_site_label
_atom_site_fract_x
_atom_site_fract_y
_atom_site_fract_z
Tm1 0.0404 0.2114 0.2335
Pd1 0.0000 0.0000 0.0000
Pd2 0.0000 0.0000 0.5000
Pd3 0.0508 0.2666 0.7186
```


Which value of uncorrected energy does entry 10 give? -5.089 eV per atom


Which of these has the highest uncorrected energy? ZrTl2Pd


What did the first record say?
First-principles (GGA-PBE) data for a relaxed ZrTlPd6 crystal, as listed in Alexandria.

Summary:
Relative energy among the computed polymorphs   12.20 kcal/mol of atoms
Energy relative to the elements   -0.02 eV/atom
V   476.6 Å³ per cell
Crystal system   trigonal
Uncorrected energy   -5.278 eV per atom

The structure in CIF format:
```
data_ZrTlPd6
_cell_length_a 7.2475
_cell_length_b 7.2475
_cell_length_c 10.4767
_cell_angle_alpha 90.00
_cell_angle_beta 90.00
_cell_angle_gamma 120.00
_space_group_name_H-M_alt 'R -3 m'
_space_group_IT_number 166
_space_group_name_Hall '-R 3 2"'
loop_
_atom_site_label
_atom_site_fract_x
_atom_site_fract_y
_atom_site_fract_z
Zr1 0.0000 0.0000 0.0000
Tl1 0.0000 0.0000 0.5000
Pd1 0.0804 0.5402 0.3833
```


Number 2 is which compound? ZrTl2Pd9